VASP calculation (PBE) on YTlC2 after structural relaxation.

Values from the calculation:
Symmetry: No. 225
DFT formation energy, eV/atom: 1.426

POSCAR file:
```
YTlC2
1.0
6.240 0.000 0.000
0.000 6.240 0.000
0.000 0.000 6.240
Y Tl C
4 4 8
Direct
0.000 0.000 0.000 Y
0.000 0.500 0.500 Y
0.500 0.000 0.500 Y
0.500 0.500 0.000 Y
0.000 0.000 0.500 Tl
0.000 0.500 0.000 Tl
0.500 0.000 0.000 Tl
0.500 0.500 0.500 Tl
0.250 0.250 0.250 C
0.250 0.250 0.750 C
0.250 0.750 0.250 C
0.250 0.750 0.750 C
0.750 0.250 0.250 C
0.750 0.250 0.750 C
0.750 0.750 0.250 C
0.750 0.750 0.750 C
```